VASP calculation (PBE-GGA) on a geometry-optimized Dy3Tm2Lu2Co2Te2 structure.

Output
**Crystal system**: orthorhombic
**Total magnetic moment**: 0.01 μB per formula unit
**DFT total energy**: -59.14 eV/f.u.

Structure (extended XYZ):
```
11
Lattice="-1.9077 7.7376 4.6800 1.9077 -7.7376 4.6800 1.9077 7.7376 -4.6800" Properties=species:S:1:pos:R:3 pbc="T T T"
Lu 0.0000 2.8663 3.5124
Lu 1.9076 4.8713 -1.1677
Dy 0.0000 7.7376 0.0023
Dy 0.0000 2.3191 6.8439
Dy 1.9077 5.4185 2.1638
Tm 1.9076 2.1039 0.7733
Tm 0.0000 5.6337 5.4534
Co 0.0000 11.4160 0.6412
Co 0.0000 4.0592 0.6412
Te 0.0000 7.7376 3.1825
Te 0.0000 0.0000 2.1793
```

VASP calculation (PBE-GGA) on a geometry-optimized Dy2YLu4Co2Te2 structure.

Output
**Crystal system**: orthorhombic
**Total magnetic moment**: 0.03 μB per formula unit
**DFT total energy**: -61.13 eV/f.u.

Structure (extended XYZ):
```
11
Lattice="-1.9004 7.7419 4.7030 1.9004 -7.7419 4.7030 1.9004 7.7419 -4.7030" Properties=species:S:1:pos:R:3 pbc="T T T"
Lu 0.0000 10.6345 0.9361
Lu 0.0000 4.8494 0.9361
Lu 1.9004 2.3281 2.3286
Lu 1.9004 -2.3281 2.3286
Dy 1.9004 5.6567 3.7081
Dy 1.9004 -5.6567 3.7081
Co 0.0000 3.6461 3.8034
Co 1.9004 4.0958 -0.8995
Y 0.0000 0.0000 4.4613
Te 0.0000 0.0000 1.3301
Te 0.0000 7.7419 2.2486
```

VASP calculation (PBE-GGA) on a geometry-optimized DyMgCo structure.

Output
**Crystal system**: orthorhombic
**Total magnetic moment**: 0.10 μB per formula unit
**DFT total energy**: -13.77 eV/f.u.

Structure (extended XYZ):
```
6
Lattice="1.9395 -8.5716 0.0000 1.9395 8.5716 0.0000 0.0000 0.0000 3.8069" Properties=species:S:1:pos:R:3 pbc="T T T"
Co 1.9395 0.6380 2.8552
Co 1.9395 -0.6380 0.9517
Dy 1.9395 -7.0718 0.9517
Dy 1.9395 7.0718 2.8552
Mg 1.9395 3.4578 2.8552
Mg 1.9395 -3.4578 0.9517
```